Ta3TiHg: relaxed, PBE.

```
Ta3TiHg
1.0
5.0034 0.0000 0.0000
0.0000 5.0034 0.0000
0.0000 0.0000 5.0034
Ta Ti Hg
3 1 1
direct
0.0000 0.0000 0.5000 Ta
0.0000 0.5000 0.0000 Ta
0.5000 0.0000 0.0000 Ta
0.5000 0.5000 0.5000 Ti
0.0000 0.0000 0.0000 Hg
```

Computed properties:
Size of the total moment (μB/cell): 0.928
DOS at the Fermi energy (states/eV per cell): 7.202
Uncorrected energy (eV/f.u.): -32.9
Crystal system: cubic
Calculated formation energy (meV/atom): 2175